BiAu2O4 | Alexandria | PBE | optimized geometry; formation energy without anion corrections = -0.393 eV/atom
1.0
6.1488 -0.5048 2.5225
2.7792 5.3413 1.1993
0.3564 -0.3035 7.0042
Bi Au O
2 4 8
Cartesian
6.4200 1.4534 6.2365
3.2862 4.3146 8.1061
7.1248 3.5765 8.1200
3.6211 1.1129 3.1666
4.9998 3.7784 3.8012
2.7256 1.1401 6.2614
5.3820 1.7696 3.9946
1.7925 0.4417 2.4504
2.6636 3.1843 6.3351
6.9655 0.3484 8.1088
3.2118 3.1083 3.0409
5.4860 4.4602 7.3490
4.5188 1.2349 7.1417
6.8238 4.4532 4.4413

NdDy2Ni2 | Alexandria | PBE | optimized geometry; total DFT energy (no corrections) = -0.19567 Ha/atom
1.0
3.8176 0.0000 0.0000
0.0000 5.5099 0.0900
-1.9088 -1.4931 5.6293
Nd Dy Ni
1 2 2
Cartesian
0.0000 0.0000 0.0000
0.0000 1.2238 3.9912
1.9088 2.7930 1.7281
1.9088 -0.0269 2.4771
0.0000 4.0438 3.2422

RbAg3Ge | Alexandria | PBE | optimized geometry; total DFT energy (no corrections) = -0.10201 Ha/atom
1.0
5.1294 0.0000 0.0000
0.0000 5.1294 0.0000
0.0000 0.0000 5.1294
Ge Rb Ag
1 1 3
Cartesian
0.0000 0.0000 0.0000
2.5647 2.5647 2.5647
0.0000 2.5647 0.0000
0.0000 0.0000 2.5647
2.5647 0.0000 0.0000

Cs4Nd3InTe8 | Alexandria | PBE | optimized geometry; formation energy without anion corrections = -1.185 eV/atom
1.0
-6.8134 6.0933 -1.6847
-6.0148 -7.7260 -3.6185
3.2980 -1.0141 8.6334
Cs Nd In Te
4 3 1 8
Cartesian
-3.4067 3.0467 -0.8423
-1.7577 2.5396 3.4743
0.0000 0.0000 0.0000
1.6490 -0.5071 4.3167
-6.4141 -0.8164 -2.6516
-4.7651 -1.3234 1.6651
-1.3584 -4.3701 2.5074
-3.0074 -3.8630 -1.8093
-2.5051 -4.9420 5.4547
-4.2048 -4.4202 1.0179
-1.8863 -1.2584 3.0772
-6.0123 -1.8054 4.5875
-3.5179 -0.8414 -1.2573
-7.6439 -1.3885 0.2530
-5.3254 1.7734 2.3123
-7.0251 2.2952 -2.1245

Quick rundown of magnetization, same order as above: 0.0, 0.0, 0.0, 0.0 μB per formula unit